## In2FeAsO6 (PBE+U)

Data for an optimized crystal structure of In2FeAsO6.

a b c (Å): 5.3950 5.4446 5.7751
angles (deg): 61.23 61.44 60.47
Site moments in Bohr magnetons follow the coordinates.
Element x y z (fractional)
In 0.5283 0.5256 0.4150  0.00
In 0.0243 0.0226 0.9294  0.01
Fe 0.8086 0.8109 0.5724  3.72
As 0.3180 0.3201 0.0454  -0.12
O 0.5897 0.2106 0.2493  -0.06
O 0.2007 0.9434 0.2575  -0.06
O 0.9539 0.5887 0.2460  -0.06
O 0.4288 0.6939 0.7647  -0.02
O 0.6905 0.1211 0.7668  -0.04
O 0.1187 0.4247 0.7687  -0.03

Computed properties:
DOS(E_F)   2.612 states/eV per cell
Spin magnetization   3.4 μB/cell
Final energy   -5.865 eV per atom
SG   P1